Material: K3Hg6Pd2
Method: DFT, PBE
State: relaxed

**VASP energy**: -1.5956 eV/atom
**Energy of formation**: -18.1 kJ/mol of atoms

POSCAR file:
```
K3Hg6Pd2
1.0
-2.4836 2.4836 13.4944
2.4836 -2.4836 13.4944
2.4836 2.4836 -13.4944
K Hg Pd
3 6 2
direct
0.0000 0.0000 0.0000
0.1978 0.1978 0.0000
0.8022 0.8022 0.0000
0.0957 0.5957 0.5000
0.3297 0.3297 0.0000
0.4043 0.9043 0.5000
0.5957 0.0957 0.5000
0.6703 0.6703 0.0000
0.9043 0.4043 0.5000
0.4507 0.4507 0.0000
0.5493 0.5493 0.0000
```

---

Material: Li4SnBi5
Method: DFT, PBE
State: relaxed

**VASP energy**: -3.3822 eV/atom
**Energy of formation**: -26.6 kJ/mol of atoms

POSCAR file:
```
Li4SnBi5
1.0
3.4039 0.0000 0.0000
0.0000 3.4039 0.0000
0.0000 0.0000 21.7001
Li Sn Bi
4 1 5
direct
0.0000 0.0000 0.0945
0.0000 0.0000 0.2827
0.0000 0.0000 0.7173
0.0000 0.0000 0.9055
0.0000 0.0000 0.5000
0.5000 0.5000 0.0000
0.5000 0.5000 0.1897
0.5000 0.5000 0.3787
0.5000 0.5000 0.6213
0.5000 0.5000 0.8103
```

---

no.,DOS at the Fermi energy (states/eV/cell)
1,2.3
2,2.5